## Mn2SbOs (GGA-PBE)

Data for a relaxed Mn2SbOs crystal.

Properties
SG: C2
Total magnetization: 4.4 μB per formula unit
Fermi-level density of states: 5.0 states/eV per cell
Formation energy from raw total energies: 0.27 eV/atom

Cell: 4.6733 4.6733 4.6813 Å, 130.19 130.19 73.12°
Closest atoms and distances in Å follow each position.
Positions (direct):
Mn 0.0003 0.9997 0.0000  4 Sb 2.72, 4 Mn 2.72, 4 Os 2.78-2.79
Mn 0.7506 0.2494 0.5000  4 Os 2.71-2.73, 4 Mn 2.72, 4 Sb 2.78-2.79
Os 0.4987 0.5013 0.0000  8 Mn 2.71-2.79, 4 Sb 2.72
Sb 0.2504 0.7496 0.5000  8 Mn 2.72-2.79, 4 Os 2.72